# 1
First-principles (GGA-PBE) data for crystalline Li2HoMgHg2 at its relaxed geometry, as listed in Alexandria via LeMat-Bulk.

Cell: 4.7109 4.7109 6.5688 Å, 90.00 90.00 120.00°
Element x y z (fractional)
Li 0.3333 0.6667 0.1866
Li 0.6667 0.3333 0.8134
Ho 0.0000 0.0000 0.5000
Mg 0.0000 0.0000 0.0000
Hg 0.3333 0.6667 0.7448
Hg 0.6667 0.3333 0.2552

Calculated values
Volume ... 21.04 A^3/atom
Total moment ... 0.0 μB/cell
ΔE_f ... -0.328 eV/atom
Density ... 7.95 g/cm3



# 2
First-principles (GGA-PBE) data for crystalline LiHoMg2Hg4 at its relaxed geometry, as listed in Alexandria via LeMat-Bulk.

Cell: 8.7923 8.7923 8.7923 Å, 32.38 32.38 32.38°
Element x y z (fractional)
Li 0.0000 0.0000 0.0000
Ho 0.5000 0.5000 0.5000
Mg 0.2523 0.2523 0.2523
Mg 0.7477 0.7477 0.7477
Hg 0.1180 0.1180 0.1180
Hg 0.3716 0.3716 0.3716
Hg 0.6284 0.6284 0.6284
Hg 0.8820 0.8820 0.8820

Calculated values
Volume ... 21.67 A^3/atom
Total moment ... 0.0 μB/cell
ΔE_f ... -0.359 eV/atom
Density ... 9.80 g/cm3



# 3
First-principles (GGA-PBE) data for crystalline NaLiHoHg at its relaxed geometry, as listed in Alexandria via LeMat-Bulk.

Cell: 5.1401 5.1401 5.1401 Å, 60.00 60.00 60.00°
Element x y z (fractional)
Na 0.0000 0.0000 0.0000
Li 0.2500 0.2500 0.2500
Ho 0.5000 0.5000 0.5000
Hg 0.7500 0.7500 0.7500

Calculated values
Volume ... 24.01 A^3/atom
Total moment ... 0.0 μB/cell
ΔE_f ... -0.070 eV/atom
Density ... 6.84 g/cm3